# 1
A geometry-optimized RbAc3Co structure, computed with PBE.

Geometry as CIF:
```
data_RbAc3Co
_cell_length_a 5.923
_cell_length_b 5.923
_cell_length_c 5.923
_cell_angle_alpha 90.00
_cell_angle_beta 90.00
_cell_angle_gamma 90.00
_space_group_name_H-M_alt 'P 1'
_space_group_IT_number 1
_space_group_name_Hall 'P 1'
loop_
_atom_site_label
_atom_site_fract_x
_atom_site_fract_y
_atom_site_fract_z
_atom_site_occupancy
Rb1 0.000 0.000 0.000 1
Ac1 0.000 0.500 0.500 1
Ac2 0.500 0.000 0.500 1
Ac3 0.500 0.500 0.000 1
Co1 0.500 0.500 0.500 1
```

Computed properties:
spin magnetization	0.000	μB/f.u.
space-group type	No. 221
E	-19.62	eV for the cell shown



# 2
A geometry-optimized Na4Y3SnS8 structure, computed with PBE.

Geometry as CIF:
```
data_Na4Y3SnS8
_cell_length_a 8.114
_cell_length_b 8.114
_cell_length_c 8.114
_cell_angle_alpha 58.84
_cell_angle_beta 58.84
_cell_angle_gamma 58.84
_space_group_name_H-M_alt 'P 1'
_space_group_IT_number 1
_space_group_name_Hall 'P 1'
loop_
_atom_site_label
_atom_site_fract_x
_atom_site_fract_y
_atom_site_fract_z
_atom_site_occupancy
Na1 0.000 0.000 0.000 1
Na2 0.000 0.500 0.500 1
Na3 0.500 0.000 0.500 1
Na4 0.500 0.500 0.000 1
Y1 0.000 0.000 0.500 1
Y2 0.000 0.500 0.000 1
Y3 0.500 0.000 0.000 1
Sn1 0.500 0.500 0.500 1
S1 0.243 0.243 0.243 1
S2 0.244 0.741 0.741 1
S3 0.259 0.259 0.757 1
S4 0.259 0.757 0.259 1
S5 0.741 0.244 0.741 1
S6 0.741 0.741 0.244 1
S7 0.756 0.259 0.259 1
S8 0.757 0.757 0.757 1
```

Computed properties:
ΔE_f (raw)	-1.560	eV/atom
spin magnetization	0.000	μB/f.u.
space-group type	No. 166



# 3
A geometry-optimized Nd2Si3SnPd4 structure, computed with PBE.

Geometry as CIF:
```
data_Nd2Si3SnPd4
_cell_length_a 4.300
_cell_length_b 4.300
_cell_length_c 10.371
_cell_angle_alpha 90.00
_cell_angle_beta 90.00
_cell_angle_gamma 90.00
_space_group_name_H-M_alt 'P 1'
_space_group_IT_number 1
_space_group_name_Hall 'P 1'
loop_
_atom_site_label
_atom_site_fract_x
_atom_site_fract_y
_atom_site_fract_z
_atom_site_occupancy
Nd1 0.000 0.500 0.239 1
Nd2 0.500 0.000 0.761 1
Si1 0.000 0.500 0.878 1
Si2 0.500 0.000 0.122 1
Si3 0.500 0.500 0.500 1
Sn1 0.000 0.000 0.500 1
Pd1 0.000 0.000 0.000 1
Pd2 0.000 0.500 0.646 1
Pd3 0.500 0.000 0.354 1
Pd4 0.500 0.500 0.000 1
```

Computed properties:
ΔE_f (raw)	-0.840	eV/atom
spin magnetization	0.000	μB/f.u.
space-group type	No. 115



# 4
A geometry-optimized Ho2TcH6 structure, computed with PBE.

Geometry as CIF:
```
data_Ho2TcH6
_cell_length_a 4.990
_cell_length_b 4.990
_cell_length_c 4.990
_cell_angle_alpha 60.00
_cell_angle_beta 60.00
_cell_angle_gamma 60.00
_space_group_name_H-M_alt 'P 1'
_space_group_IT_number 1
_space_group_name_Hall 'P 1'
loop_
_atom_site_label
_atom_site_fract_x
_atom_site_fract_y
_atom_site_fract_z
_atom_site_occupancy
Ho1 0.250 0.250 0.250 1
Ho2 0.750 0.750 0.750 1
Tc1 0.000 0.000 0.000 1
H1 0.253 0.253 0.747 1
H2 0.253 0.747 0.253 1
H3 0.253 0.747 0.747 1
H4 0.747 0.253 0.253 1
H5 0.747 0.253 0.747 1
H6 0.747 0.747 0.253 1
```

Computed properties:
spin magnetization	0.000	μB/f.u.
space-group type	No. 225
E	-44.54	eV for the cell shown



# 5
A geometry-optimized Rb3TlV2Br9 structure, computed with PBE.

Geometry as CIF:
```
data_Rb3TlV2Br9
_cell_length_a 7.604
_cell_length_b 7.604
_cell_length_c 10.576
_cell_angle_alpha 90.00
_cell_angle_beta 90.00
_cell_angle_gamma 120.00
_space_group_name_H-M_alt 'P 1'
_space_group_IT_number 1
_space_group_name_Hall 'P 1'
loop_
_atom_site_label
_atom_site_fract_x
_atom_site_fract_y
_atom_site_fract_z
_atom_site_occupancy
Rb1 0.000 0.000 0.000 1
Rb2 0.333 0.667 0.727 1
Rb3 0.667 0.333 0.273 1
Tl1 0.000 0.000 0.500 1
V1 0.333 0.667 0.151 1
V2 0.667 0.333 0.849 1
Br1 0.000 0.500 0.000 1
Br2 0.174 0.347 0.284 1
Br3 0.174 0.826 0.284 1
Br4 0.347 0.174 0.716 1
Br5 0.500 0.000 0.000 1
Br6 0.500 0.500 0.000 1
Br7 0.653 0.826 0.284 1
Br8 0.826 0.174 0.716 1
Br9 0.826 0.653 0.716 1
```

Computed properties:
ΔE_f (raw)	-1.176	eV/atom
spin magnetization	5.000	μB/f.u.
space-group type	No. 164



# 6
A geometry-optimized In2HAu2 structure, computed with PBE.

Geometry as CIF:
```
data_In2HAu2
_cell_length_a 5.736
_cell_length_b 5.736
_cell_length_c 5.634
_cell_angle_alpha 90.00
_cell_angle_beta 90.00
_cell_angle_gamma 90.00
_space_group_name_H-M_alt 'P 1'
_space_group_IT_number 1
_space_group_name_Hall 'P 1'
loop_
_atom_site_label
_atom_site_fract_x
_atom_site_fract_y
_atom_site_fract_z
_atom_site_occupancy
In1 0.187 0.313 0.000 1
In2 0.313 0.813 0.000 1
In3 0.687 0.187 0.000 1
In4 0.813 0.687 0.000 1
H1 0.000 0.000 0.500 1
H2 0.500 0.500 0.500 1
Au1 0.183 0.683 0.500 1
Au2 0.317 0.183 0.500 1
Au3 0.683 0.817 0.500 1
Au4 0.817 0.317 0.500 1
```

Computed properties:
spin magnetization	0.000	μB/f.u.
space-group type	No. 127
relative energy among the computed polymorphs	0.000	eV per atom